(1)
Computed, not measured: crystalline TbAl3Rh at its relaxed geometry at the GGA-PBE level of DFT.

DOS at the Fermi energy = 12.3 states/eV per cell
Total energy = -5.24 eV per atom
Total magnetic moment = 0.00 μB/f.u.
Space group = P2_1/c, No. 14

Cell and atoms, written as POSCAR:
```
TbAl3Rh
1.0
8.2167 0.0000 0.0000
0.0000 5.4571 0.0000
-1.4190 0.0000 8.2023
Tb Al Rh
4 12 4
Cartesian
0.7651 0.6381 1.7453 Tb
0.0556 2.0905 5.8464 Tb
6.7421 3.3667 2.3558 Tb
6.0326 4.8190 6.4570 Tb
1.0530 3.4096 0.4376 Al
0.3435 4.7761 4.5388 Al
1.8634 3.2968 2.9386 Al
1.1539 4.8889 7.0397 Al
2.4999 0.8764 4.5799 Al
3.2094 1.8522 0.4788 Al
3.5882 3.6049 7.7235 Al
4.2977 4.5808 3.6223 Al
5.6437 0.5682 1.1625 Al
4.9342 2.1604 5.2637 Al
6.4542 0.6811 3.6635 Al
5.7447 2.0475 7.7646 Al
2.7998 3.5491 5.3449 Rh
3.5093 4.6366 1.2438 Rh
3.2883 0.8205 6.9585 Rh
3.9978 1.9080 2.8574 Rh
```



(2)
Computed, not measured: crystalline Tb3Al5Rh12 at its relaxed geometry at the GGA-PBE level of DFT.

DOS at the Fermi energy = 63.1 states/eV per cell
Total energy = -6.01 eV per atom
Total magnetic moment = 0.00 μB/f.u.
Space group = Ia-3d, No. 230

Cell and atoms, written as POSCAR:
```
Tb3Al5Rh12
1.0
-7.3337 7.3337 7.3337
7.3337 -7.3337 7.3337
7.3337 7.3337 -7.3337
Tb Al Rh
12 20 48
Cartesian
3.6668 1.8334 0.0000 Tb
7.3337 3.6668 -1.8334 Tb
1.8334 0.0000 3.6668 Tb
9.1671 0.0000 3.6668 Tb
0.0000 3.6668 1.8334 Tb
3.6668 -1.8334 7.3337 Tb
3.6668 9.1671 0.0000 Tb
7.3337 3.6668 5.5003 Tb
-1.8334 7.3337 3.6668 Tb
5.5003 7.3337 3.6668 Tb
0.0000 3.6668 9.1671 Tb
3.6668 5.5003 7.3337 Tb
0.0000 0.0000 0.0000 Al
3.6668 3.6668 -3.6668 Al
3.6668 -3.6668 3.6668 Al
7.3337 0.0000 0.0000 Al
11.0005 1.8334 0.0000 Al
7.3337 -3.6668 5.5003 Al
5.5003 7.3337 -3.6668 Al
5.5003 0.0000 3.6668 Al
3.6668 5.5003 0.0000 Al
7.3337 3.6668 1.8334 Al
-3.6668 3.6668 3.6668 Al
0.0000 7.3337 0.0000 Al
0.0000 0.0000 7.3337 Al
3.6668 3.6668 3.6668 Al
0.0000 3.6668 5.5003 Al
3.6668 1.8334 7.3337 Al
1.8334 7.3337 3.6668 Al
1.8334 0.0000 11.0005 Al
0.0000 11.0005 1.8334 Al
-3.6668 5.5003 7.3337 Al
2.1578 -0.3169 1.0196 Rh
8.8427 4.6865 -3.9837 Rh
7.0168 -1.0196 2.1578 Rh
11.3174 -1.5091 2.6472 Rh
9.4915 0.3169 1.0196 Rh
8.8427 -2.6472 3.9837 Rh
1.0196 2.1578 -0.3169 Rh
9.9809 3.3500 -1.5091 Rh
4.6865 3.9837 -1.5091 Rh
6.3141 2.1578 0.3169 Rh
-0.3169 1.0196 2.1578 Rh
3.9837 -1.5091 4.6865 Rh
7.0168 6.3141 -2.1578 Rh
3.9837 1.5091 2.6472 Rh
6.3141 -2.1578 7.0168 Rh
4.6865 -3.9837 8.8427 Rh
2.6472 3.9837 1.5091 Rh
8.3533 5.1759 0.3169 Rh
2.1578 7.0168 -1.0196 Rh
8.8427 2.6472 3.3500 Rh
3.9837 8.8427 -2.6472 Rh
7.0168 1.0196 5.1759 Rh
1.5091 2.6472 3.9837 Rh
2.1578 0.3169 6.3141 Rh
5.1759 7.0168 1.0196 Rh
5.8246 4.6865 3.3500 Rh
0.3169 6.3141 2.1578 Rh
3.3500 -1.5091 9.9809 Rh
-1.5091 4.6865 3.9837 Rh
5.1759 0.3169 8.3533 Rh
-1.0196 2.1578 7.0168 Rh
4.6865 3.3500 5.8246 Rh
2.6472 11.3174 -1.5091 Rh
1.0196 9.4915 0.3169 Rh
3.3500 5.8246 4.6865 Rh
0.3169 1.0196 9.4915 Rh
3.3500 8.8427 2.6472 Rh
7.6506 6.3141 5.1759 Rh
1.0196 5.1759 7.0168 Rh
2.6472 3.3500 8.8427 Rh
-2.6472 3.9837 8.8427 Rh
6.3141 5.1759 7.6506 Rh
-1.5091 9.9809 3.3500 Rh
-2.1578 7.0168 6.3141 Rh
-3.9837 8.8427 4.6865 Rh
0.3169 8.3533 5.1759 Rh
-1.5091 2.6472 11.3174 Rh
5.1759 7.6506 6.3141 Rh
```



(3)
Computed, not measured: crystalline Tb4Al3Rh at its relaxed geometry at the GGA-PBE level of DFT.

DOS at the Fermi energy = 7.3 states/eV per cell
Total energy = -5.14 eV per atom
Total magnetic moment = 0.00 μB/f.u.
Space group = Pmm2, No. 25

Cell and atoms, written as POSCAR:
```
Tb4Al3Rh
1.0
3.8633 0.0000 0.0000
0.0000 4.4372 0.0000
0.0000 0.0000 11.2714
Tb Al Rh
4 3 1
Cartesian
0.0000 0.0000 0.0000 Tb
0.0000 2.2186 3.0685 Tb
1.9317 0.0000 5.2534 Tb
1.9317 2.2186 8.8690 Tb
0.0000 0.0000 7.8615 Al
0.0000 2.2186 6.3180 Al
1.9317 2.2186 0.7322 Al
1.9317 0.0000 2.2166 Rh
```



(4)
Computed, not measured: crystalline Tb2TiAl2Rh5 at its relaxed geometry at the GGA-PBE level of DFT.

DOS at the Fermi energy = 6.4 states/eV per cell
Total energy = -7.00 eV per atom
Total magnetic moment = 0.00 μB/f.u.
Space group = P4/mbm, No. 127

Cell and atoms, written as POSCAR:
```
Tb2TiAl2Rh5
1.0
9.9998 0.0000 0.0000
0.0000 9.9998 0.0000
0.0000 0.0000 3.3874
Tb Ti Al Rh
4 2 4 10
Cartesian
1.7302 3.2697 0.0000 Tb
3.2697 8.2696 0.0000 Tb
6.7301 1.7302 0.0000 Tb
8.2696 6.7301 0.0000 Tb
0.0000 0.0000 0.0000 Ti
4.9999 4.9999 0.0000 Ti
1.2618 6.2617 0.0000 Al
3.7381 1.2618 0.0000 Al
6.2617 8.7380 0.0000 Al
8.7380 3.7381 0.0000 Al
0.0000 4.9999 1.6937 Rh
0.6512 7.9791 1.6937 Rh
2.0207 0.6512 1.6937 Rh
2.9792 5.6510 1.6937 Rh
4.3487 2.9792 1.6937 Rh
4.9999 0.0000 1.6937 Rh
5.6510 7.0206 1.6937 Rh
7.0206 4.3487 1.6937 Rh
7.9791 9.3486 1.6937 Rh
9.3486 2.0207 1.6937 Rh
```